This record from Alexandria via LeMat-Bulk describes crystalline Sr2CrFe at its relaxed geometry. The functional is PBE-GGA.

Properties
Formation energy ... 0.71 eV per atom
Mass density ... 4.44 g/cm3
Energy above the most stable polymorph in this dataset ... 155.7 meV per atom

The structure in CIF format:
```
data_Sr2CrFe
_chemical_formula_sum 'Sr2 Cr1 Fe1'
_cell_length_a 3.448
_cell_length_b 3.448
_cell_length_c 8.900
_cell_angle_alpha 90.00
_cell_angle_beta 90.00
_cell_angle_gamma 90.00
_space_group_name_H-M_alt 'P 1'
_space_group_IT_number 1
_space_group_name_Hall 'P 1'
loop_
_atom_site_label
_atom_site_type_symbol
_atom_site_fract_x
_atom_site_fract_y
_atom_site_fract_z
_atom_site_occupancy
Sr1 Sr 0.000 0.000 0.000 1
Sr2 Sr 0.500 0.500 0.407 1
Cr1 Cr 0.000 0.000 0.663 1
Fe1 Fe 0.500 0.500 0.750 1
```